(1)
Here is a relaxed SrBeCuH6 crystal from the Alexandria database. Energies are from PBE.

Structure (POSCAR):
```
SrBeCuH6
1.0
4.2574 0.0000 0.0000
-1.6803 4.3739 0.0000
-0.7819 -0.3716 4.8587
Sr Be Cu H
1 1 1 6
Direct
0.0000 0.0000 0.0000
0.6406 0.3445 0.4341
0.2104 0.6140 0.6154
0.3172 0.3856 0.4118
0.3747 0.6182 0.9276
0.4579 0.9684 0.6060
0.6086 0.1734 0.1857
0.8631 0.3366 0.6921
0.9095 0.6724 0.3986
```

Computed properties:
symmetry = P1 (1)
total DFT energy (no corrections) = -30.8 eV per cell
crystal system = triclinic

(2)
Here is a relaxed BeCuTcH2 crystal from the Alexandria database. Energies are from PBE.

Structure (POSCAR):
```
BeCuTcH2
1.0
3.2422 0.0000 0.0000
0.0000 3.2422 0.0000
0.0000 0.0000 4.2084
Be Cu Tc H
1 1 1 2
Direct
0.0000 0.0000 0.0000
0.0000 0.0000 0.5000
0.5000 0.5000 0.0000
0.0000 0.5000 0.5000
0.5000 0.0000 0.5000
```

Computed properties:
symmetry = P4/mmm (123)
total DFT energy (no corrections) = -21.7 eV per cell
crystal system = tetragonal